This record from Alexandria via LeMat-Bulk describes a geometry-optimized GeBiH structure. The functional is PBE-GGA.

Computed properties:
space group	P-1
raw total energy	-3.748	eV per atom

Cell lengths 6.5381, 6.6200, 6.6728 Å; angles 98.16, 90.03, 90.09 degrees
Sites, in units of the cell vectors:
1 Ge 0.2136 0.1504 0.1058
2 Ge 0.2864 0.6500 0.6052
3 Ge 0.7136 0.3500 0.3948
4 Ge 0.7864 0.8496 0.8942
5 Bi 0.1702 0.7216 0.0102
6 Bi 0.3298 0.2213 0.5109
7 Bi 0.6702 0.7787 0.4891
8 Bi 0.8298 0.2784 0.9898
9 H 0.1099 0.7332 0.4766
10 H 0.3900 0.2352 0.9781
11 H 0.6100 0.7648 0.0219
12 H 0.8901 0.2668 0.5234